## BaSb3P (GGA-PBE)

Data for an optimized crystal structure of BaSb3P.

Unit cell a=5.3974 b=5.3974 c=5.3974 alpha=90.00 beta=90.00 gamma=90.00
Sites, in units of the cell vectors:
Ba: 0.0000 0.0000 0.0000
Sb: 0.0000 0.5000 0.5000
Sb: 0.5000 0.0000 0.5000
Sb: 0.5000 0.5000 0.0000
P: 0.5000 0.5000 0.5000

Results
The calculation puts the energy relative to the elements, uncorrected at -0.09 eV per atom. The value obtained for the total magnetization is 0.00 μB per cell. As for the total DFT energy (no corrections): -4.026 eV/atom. Its space group is Pm-3m, No. 221. As for the energy above the most stable polymorph in this dataset: 0 meV per atom. The calculation puts the theoretical density at 5.64 g cm⁻³.